Record 1
Density functional theory data (PBEsol) for a geometry-optimized SrSnPO2 structure.

Computed properties:
DFT total energy   -22.6 eV per cell
Density   4.02 g/cm³
Formation energy from raw total energies   -4.0 kJ per mole of atoms

Unit cell a=4.3792 b=4.3792 c=5.8008 alpha=90.00 beta=90.00 gamma=90.00
Last column: nearest neighbours and their distance in Å.
Fractional coordinates of all 5 atoms:
Sr1 0.0000 0.0000 0.0000  4 O 2.19
Sn1 0.5000 0.5000 0.5000  4 P 3.10
P1 0.0000 0.0000 0.5000  2 Sr 2.90, 4 Sn 3.10
O1 0.0000 0.5000 0.0000  2 Sr 2.19
O2 0.5000 0.0000 0.0000  2 Sr 2.19



Record 2
Density functional theory data (PBEsol) for a geometry-optimized BeTeRu structure.

Computed properties:
DFT total energy   -16.8 eV per cell
Density   8.56 g/cm³
Formation energy from raw total energies   28.5 kJ per mole of atoms

Unit cell a=3.9497 b=3.9497 c=3.4134 alpha=90.00 beta=90.00 gamma=120.00
Last column: nearest neighbours and their distance in Å.
Fractional coordinates of all 3 atoms:
Be1 0.0000 0.0000 0.0000  3 Ru 2.28
Te1 0.3333 0.6667 0.5000  6 Be 2.85, 6 Ru 2.85
Ru1 0.6667 0.3333 0.0000  3 Be 2.28



Record 3
Density functional theory data (PBEsol) for a geometry-optimized HfMoS2 structure.

Computed properties:
DFT total energy   -33.9 eV per cell
Density   9.72 g/cm³
Formation energy from raw total energies   -69.8 kJ per mole of atoms

Unit cell a=4.3405 b=4.3405 c=4.3405 alpha=60.00 beta=60.00 gamma=60.00
Last column: nearest neighbours and their distance in Å.
Fractional coordinates of all 4 atoms:
Hf1 0.0000 0.0000 0.0000  8 S 2.66
Mo1 0.5000 0.5000 0.5000  8 S 2.66
S1 0.2500 0.2500 0.2500  4 Mo 2.66, 4 Hf 2.66
S2 0.7500 0.7500 0.7500  4 Hf 2.66, 4 Mo 2.66



Record 4
Density functional theory data (PBEsol) for a geometry-optimized HRhOF2 structure.

Computed properties:
DFT total energy   -21.5 eV per cell
Density   6.21 g/cm³

Unit cell a=3.0002 b=3.0002 c=4.6916 alpha=90.00 beta=90.00 gamma=90.00
Last column: nearest neighbours and their distance in Å.
Fractional coordinates of all 5 atoms:
H1 0.0000 0.0000 0.0000  4 F 1.50
Rh1 0.5000 0.5000 0.5000  4 O 2.12
O1 0.0000 0.0000 0.5000  4 Rh 2.12, 2 H 2.35
F1 0.0000 0.5000 0.0000  2 H 1.50
F2 0.5000 0.0000 0.0000  2 H 1.50



The highest DFT total energy belongs to which entry?
BeTeRu